1.
# TbDyBe2 | Alexandria | PBE-GGA | optimized geometry
data_TbDyBe2
_symmetry_space_group_name_H-M 'P 1'
_symmetry_Int_Tables_number 1
_cell_length_a 4.8284
_cell_length_b 4.8284
_cell_length_c 4.8284
_cell_angle_alpha 60.00
_cell_angle_beta 60.00
_cell_angle_gamma 60.00
loop_
_symmetry_equiv_pos_as_xyz
'x,y,z'
loop_
_atom_site_label
_atom_site_fract_x
_atom_site_fract_y
_atom_site_fract_z
Be1 0.2500 0.2500 0.2500
Be2 0.7500 0.7500 0.7500
Tb1 0.0000 0.0000 0.0000
Dy1 0.5000 0.5000 0.5000
# magnetic moment: 0.00 μB per formula unit
# electronic total energy: -4.061 eV per atom
# DOS(E_F): 4.41 states/eV/cell

2.
# CaCeN2 | Alexandria | PBE-GGA | optimized geometry
data_CaCeN2
_symmetry_space_group_name_H-M 'P 1'
_symmetry_Int_Tables_number 1
_cell_length_a 3.5406
_cell_length_b 3.5406
_cell_length_c 6.2725
_cell_angle_alpha 73.61
_cell_angle_beta 73.61
_cell_angle_gamma 60.00
loop_
_symmetry_equiv_pos_as_xyz
'x,y,z'
loop_
_atom_site_label
_atom_site_fract_x
_atom_site_fract_y
_atom_site_fract_z
Ca1 0.4955 0.4955 0.5134
Ce1 0.6667 0.6667 0.9999
N1 0.0747 0.0747 0.7760
N2 0.2631 0.2631 0.2107
# magnetic moment: 0.00 μB per formula unit
# energy relative to the elements, uncorrected: -1175 meV per atom